(1)
GGA-PBE BeGa3Cu12, relaxed; calculated formation energy = -72 meV per atom; space group = P4/mmm, No. 123; volume = 12.24 Å³ per atom; raw total energy = -3.944 eV per atom; size of the total moment = 0.000 μB/f.u.
1.0
-3.361 -0.957 1.049
-0.322 -2.113 -2.957
5.578 -11.362 7.511
Cu Ga Be
12 3 1
Direct
0.500 0.500 0.244
0.000 0.500 0.885
0.500 0.000 0.885
0.000 0.500 0.372
0.000 0.500 0.628
0.500 0.000 0.628
0.500 0.000 0.115
0.000 0.500 0.115
0.500 0.500 0.500
0.500 0.500 0.756
0.500 0.500 0.000
0.500 0.000 0.372
0.000 0.000 0.243
0.000 0.000 0.757
0.000 0.000 0.500
0.000 0.000 0.000

(2)
GGA-PBE Be2Ga2Cu, relaxed; calculated formation energy = 406 meV per atom; space group = I4/mmm, No. 139; volume = 13.76 Å³ per atom; distance to the lowest polymorph of the same formula = 208 meV per atom; raw total energy = -3.115 eV per atom; size of the total moment = 0.000 μB/f.u.
1.0
-0.150 -2.949 -1.970
3.151 0.794 -1.428
4.004 -3.861 2.278
Cu Be Ga
1 2 2
Direct
0.000 0.000 0.000
0.595 0.595 0.810
0.405 0.405 0.190
0.250 0.750 0.500
0.750 0.250 0.500

(3)
GGA-PBE BeGaCu2, relaxed; calculated formation energy = 25 meV per atom; space group = F-43m, No. 216; volume = 11.85 Å³ per atom; raw total energy = -3.711 eV per atom; size of the total moment = 0.000 μB/f.u.
1.0
-0.624 -1.834 3.572
-0.303 -4.048 0.180
2.968 -2.186 1.707
Be Ga Cu
1 1 2
Direct
0.750 0.750 0.750
0.500 0.500 0.500
0.000 0.000 0.000
0.250 0.250 0.250

(4)
GGA-PBE BeGaCu, relaxed; calculated formation energy = 161 meV per atom; space group = P3m1, No. 156; volume = 12.41 Å³ per atom; distance to the lowest polymorph of the same formula = 94 meV per atom; raw total energy = -3.455 eV per atom; size of the total moment = 0.000 μB/f.u.
1.0
2.746 0.000 0.000
0.000 3.956 0.000
0.000 -1.978 3.426
Be Cu Ga
1 1 1
Direct
0.275 0.333 0.667
0.086 0.000 0.000
0.639 0.667 0.333

(5)
GGA-PBE BeGa2Cu8, relaxed; calculated formation energy = -55 meV per atom; space group = C2/m, No. 12; volume = 12.21 Å³ per atom; raw total energy = -3.923 eV per atom; size of the total moment = 0.000 μB/f.u.
1.0
3.699 0.000 0.000
0.000 5.789 0.306
-1.849 -2.181 6.155
Ga Cu Be
2 8 1
Direct
0.780 0.350 0.559
0.220 0.650 0.441
0.674 0.914 0.347
0.041 0.734 0.083
0.411 0.559 0.823
0.959 0.266 0.917
0.589 0.441 0.177
0.135 0.180 0.269
0.865 0.820 0.731
0.326 0.086 0.653
0.500 0.000 0.000

(6)
GGA-PBE BeGaCu2, relaxed; calculated formation energy = -20 meV per atom; space group = P4/mmm, No. 123; volume = 11.76 Å³ per atom; raw total energy = -3.757 eV per atom; size of the total moment = 0.000 μB/f.u.
1.0
3.563 0.000 0.000
0.000 3.634 0.000
0.000 0.000 3.634
Be Cu Ga
1 2 1
Direct
0.500 0.000 0.000
0.000 0.500 0.000
0.000 0.000 0.500
0.500 0.500 0.500

(7)
GGA-PBE Be2Ga5Cu12, relaxed; calculated formation energy = -17 meV per atom; space group = C2/m, No. 12; volume = 12.70 Å³ per atom; raw total energy = -3.793 eV per atom; size of the total moment = 0.000 μB/f.u.
1.0
6.932 0.000 0.000
-3.466 5.660 0.938
0.000 -0.946 5.995
Cu Ga Be
12 5 2
Direct
0.333 0.299 0.229
0.912 0.824 0.114
0.413 0.233 0.648
0.587 0.767 0.352
0.180 0.767 0.352
0.034 0.701 0.771
0.966 0.299 0.229
0.667 0.701 0.771
0.445 0.890 0.695
0.088 0.176 0.886
0.820 0.233 0.648
0.555 0.110 0.305
0.758 0.517 0.421
0.687 0.373 0.974
0.000 0.000 0.500
0.313 0.627 0.026
0.242 0.483 0.579
0.692 0.000 0.000
0.308 0.000 0.000

(8)
GGA-PBE BeGaCu2, relaxed; calculated formation energy = 268 meV per atom; space group = I-42d, No. 122; volume = 13.15 Å³ per atom; raw total energy = -3.469 eV per atom; size of the total moment = 0.000 μB/f.u.
1.0
6.683 0.000 0.000
0.000 6.683 0.000
3.342 3.342 2.355
Cu Ga Be
4 2 2
Direct
0.571 0.125 0.250
0.179 0.625 0.250
0.875 0.821 0.750
0.375 0.429 0.750
0.750 0.250 0.500
0.000 0.000 0.000
0.500 0.500 0.000
0.250 0.750 0.500

(9)
GGA-PBE Be2GaCu, relaxed; calculated formation energy = 87 meV per atom; space group = P4/mmm, No. 123; volume = 10.97 Å³ per atom; raw total energy = -3.557 eV per atom; size of the total moment = 0.000 μB/f.u.
1.0
-0.028 -3.159 -1.287
1.964 -1.147 2.774
-3.002 -0.719 1.828
Be Cu Ga
2 1 1
Direct
0.000 0.500 0.000
0.000 0.000 0.500
0.500 0.000 0.000
0.500 0.500 0.500

(10)
GGA-PBE BeGa2Cu7Ge2, relaxed; calculated formation energy = 85 meV per atom; space group = C2/m, No. 12; volume = 14.00 Å³ per atom; raw total energy = -3.889 eV per atom; size of the total moment = 0.000 μB/f.u.
1.0
3.469 0.000 0.005
0.004 3.469 0.005
1.623 1.621 13.968
Cu Ga Ge Be
7 2 2 1
Direct
0.563 0.063 0.870
0.937 0.437 0.130
0.063 0.563 0.870
0.437 0.937 0.130
0.728 0.728 0.547
0.272 0.272 0.453
0.500 0.500 0.000
0.634 0.634 0.732
0.366 0.366 0.268
0.809 0.809 0.370
0.191 0.191 0.630
0.000 0.000 0.000

(11)
GGA-PBE BeGaCu2H, relaxed; space group = P4/mmm, No. 123; volume = 13.38 Å³ per atom; raw total energy = -2.921 eV per atom; size of the total moment = 0.000 μB/f.u.
1.0
-3.137 -3.384 0.651
0.403 -0.933 -2.909
3.391 -2.876 1.393
Cu H Be Ga
2 1 1 1
Direct
0.500 0.000 0.000
0.000 0.000 0.500
0.000 0.500 0.000
0.500 0.500 0.500
0.000 0.000 0.000

(12)
GGA-PBE Ho2BeGaCu6, relaxed; calculated formation energy = -137 meV per atom; space group = P-1, No. 2; volume = 16.25 Å³ per atom; raw total energy = -4.186 eV per atom; size of the total moment = 0.000 μB/f.u.
1.0
5.788 0.018 0.017
-0.010 6.481 0.500
2.865 3.613 4.618
Cu Ho Ga Be
6 2 1 1
Direct
0.762 0.243 0.911
0.675 0.759 0.086
0.325 0.241 0.914
0.758 0.680 0.480
0.242 0.320 0.520
0.238 0.757 0.089
0.779 0.221 0.445
0.221 0.779 0.555
0.500 0.500 0.000
0.000 0.000 0.000

(13)
GGA-PBE Ho2BeGa4Cu3, relaxed; calculated formation energy = -398 meV per atom; space group = P-4m2, No. 115; volume = 16.74 Å³ per atom; raw total energy = -4.126 eV per atom; size of the total moment = 0.000 μB/f.u.
1.0
-3.235 0.638 -2.412
-1.083 -3.917 0.417
-5.517 2.380 8.028
Ga Be Cu Ho
4 1 3 2
Direct
0.500 0.000 0.626
0.500 0.500 0.000
0.000 0.000 0.000
0.000 0.500 0.374
0.500 0.500 0.500
0.000 0.500 0.138
0.000 0.000 0.500
0.500 0.000 0.862
0.500 0.000 0.258
0.000 0.500 0.742

(14)
GGA-PBE Ho2Be3GaCu12, relaxed; calculated formation energy = 289 meV per atom; space group = R-3m, No. 166; volume = 15.72 Å³ per atom; raw total energy = -3.739 eV per atom; size of the total moment = 0.000 μB/f.u.
1.0
7.240 -0.127 -0.090
3.465 6.358 -0.090
3.465 2.017 6.030
Cu Be Ho Ga
12 3 2 1
Direct
0.396 0.868 0.868
0.132 0.132 0.604
0.338 0.898 0.338
0.868 0.868 0.396
0.898 0.338 0.338
0.102 0.662 0.662
0.662 0.102 0.662
0.604 0.132 0.132
0.338 0.338 0.898
0.868 0.396 0.868
0.662 0.662 0.102
0.132 0.604 0.132
0.500 0.000 0.000
0.000 0.000 0.500
0.000 0.500 0.000
0.600 0.600 0.600
0.400 0.400 0.400
0.000 0.000 0.000

(15)
GGA-PBE HoBeGa2Cu4, relaxed; calculated formation energy = -205 meV per atom; space group = R-3m, No. 166; volume = 14.71 Å³ per atom; raw total energy = -4.047 eV per atom; size of the total moment = 0.000 μB/f.u.
1.0
-2.443 0.280 3.274
-4.019 -0.679 -0.381
-0.972 -8.003 2.519
Ho Cu Ga Be
1 4 2 1
Direct
0.000 0.000 0.000
0.592 0.592 0.224
0.408 0.408 0.776
0.862 0.862 0.415
0.138 0.138 0.585
0.246 0.246 0.263
0.754 0.754 0.737
0.500 0.500 0.500

(16)
GGA-PBE La2Be3GaCu12, relaxed; calculated formation energy = 262 meV per atom; space group = R-3m, No. 166; volume = 16.52 Å³ per atom; raw total energy = -3.805 eV per atom; size of the total moment = 0.000 μB/f.u.
1.0
-2.212 7.053 0.769
-7.149 1.667 -1.155
-4.249 1.816 5.820
Cu La Ga Be
12 2 1 3
Direct
0.120 0.613 0.120
0.664 0.092 0.664
0.336 0.908 0.336
0.880 0.880 0.387
0.092 0.664 0.664
0.908 0.336 0.336
0.387 0.880 0.880
0.613 0.120 0.120
0.880 0.387 0.880
0.336 0.336 0.908
0.664 0.664 0.092
0.120 0.120 0.613
0.393 0.393 0.393
0.607 0.607 0.607
0.000 0.000 0.000
0.000 0.000 0.500
0.000 0.500 0.000
0.500 0.000 0.000

(17)
GGA-PBE La2BeGa3Cu12, relaxed; calculated formation energy = 75 meV per atom; space group = R-3m, No. 166; volume = 16.51 Å³ per atom; raw total energy = -3.915 eV per atom; size of the total moment = 0.000 μB/f.u.
1.0
-4.730 4.307 -6.633
-1.602 -0.691 -9.049
-6.999 -1.586 -5.781
Cu Ga Be La
12 3 1 2
Direct
0.422 0.807 0.422
0.667 0.063 0.063
0.937 0.937 0.333
0.578 0.578 0.193
0.807 0.422 0.422
0.333 0.937 0.937
0.422 0.422 0.807
0.578 0.193 0.578
0.937 0.333 0.937
0.063 0.667 0.063
0.063 0.063 0.667
0.193 0.578 0.578
0.000 0.000 0.500
0.500 0.000 0.000
0.000 0.500 0.000
0.000 0.000 0.000
0.343 0.343 0.343
0.657 0.657 0.657

(18)
GGA-PBE LiBeGaCu, relaxed; calculated formation energy = -95 meV per atom; space group = F-43m, No. 216; volume = 11.80 Å³ per atom; raw total energy = -3.286 eV per atom; size of the total moment = 0.000 μB/f.u.
1.0
-0.025 1.701 3.682
-3.235 2.111 1.236
-2.404 -1.491 2.906
Be Ga Li Cu
1 1 1 1
Direct
0.750 0.750 0.750
0.250 0.250 0.250
0.000 0.000 0.000
0.500 0.500 0.500

(19)
GGA-PBE Mg2BeGaCu6, relaxed; calculated formation energy = 264 meV per atom; space group = Fm-3m, No. 225; volume = 15.81 Å³ per atom; raw total energy = -3.188 eV per atom; size of the total moment = 0.000 μB/f.u.
1.0
6.069 0.000 0.000
0.000 6.069 0.000
3.035 3.034 4.292
Cu Ga Be Mg
6 1 1 2
Direct
0.266 0.734 0.000
0.734 0.734 0.000
0.266 0.266 0.000
0.734 0.734 0.533
0.266 0.266 0.467
0.734 0.266 0.000
0.000 0.000 0.000
0.500 0.500 0.000
0.250 0.750 0.500
0.750 0.250 0.500

(20)
GGA-PBE Mg2Be2GaCu5, relaxed; calculated formation energy = -75 meV per atom; space group = P4/mbm, No. 127; volume = 13.00 Å³ per atom; raw total energy = -3.490 eV per atom; size of the total moment = 0.000 μB/f.u.
1.0
3.325 0.000 0.000
0.000 8.842 0.000
0.000 0.000 8.842
Be Mg Cu Ga
4 4 10 2
Direct
0.000 0.383 0.117
0.000 0.117 0.617
0.000 0.617 0.883
0.000 0.883 0.383
0.000 0.677 0.177
0.000 0.177 0.323
0.000 0.323 0.823
0.000 0.823 0.677
0.500 0.788 0.932
0.500 0.932 0.212
0.500 0.000 0.500
0.500 0.212 0.068
0.500 0.288 0.568
0.500 0.568 0.712
0.500 0.500 0.000
0.500 0.712 0.432
0.500 0.432 0.288
0.500 0.068 0.788
0.000 0.500 0.500
0.000 0.000 0.000